Entry 1:
Computed, not measured: AgTePd6 after structural relaxation at the PBE-GGA level of DFT.

Cell lengths 4.844, 4.844, 7.253 Å; angles 72.62, 72.62, 70.75 degrees
Fractional positions:
Ag 0.500 0.500 0.500
Te 0.000 0.000 0.000
Pd 0.447 0.927 0.702
Pd 0.073 0.553 0.298
Pd 0.927 0.447 0.702
Pd 0.553 0.073 0.298
Pd 0.649 0.649 0.064
Pd 0.351 0.351 0.936

Results
**Uncorrected formation energy**: 0.05 eV/atom
**Space group**: C2/m, No. 12
**Offset from the most stable computed form**: 83.3 kJ/mol of formula units

=====

Entry 2:
Computed, not measured: CaBiP2Cl after structural relaxation at the PBE-GGA level of DFT.

Cell lengths 5.360, 5.360, 4.940 Å; angles 90.00, 90.00, 90.00 degrees
Fractional positions:
Ca 0.000 0.000 0.000
Cl 0.000 0.000 0.500
P 0.500 0.000 0.000
P 0.000 0.500 0.000
Bi 0.500 0.500 0.500

Results
**Uncorrected formation energy**: 0.26 eV/atom
**Space group**: P4/mmm, No. 123
**Offset from the most stable computed form**: 114.2 kJ/mol of formula units

=====

Entry 3:
Computed, not measured: Sc3TiGa4 after structural relaxation at the PBE-GGA level of DFT.

Cell lengths 4.902, 6.179, 9.550 Å; angles 90.00, 90.00, 90.00 degrees
Site moments in Bohr magnetons follow the coordinates.
Fractional positions:
Sc 0.000 0.000 0.500  -0.03
Sc 0.000 0.000 0.000  -0.03
Sc 0.402 0.000 0.250  -0.08
Sc 0.598 0.000 0.750  -0.08
Sc 0.617 0.500 0.750  0.10
Sc 0.383 0.500 0.250  0.10
Ga 0.500 0.739 0.000  -0.01
Ga 0.117 0.739 0.750  -0.01
Ga 0.883 0.739 0.250  -0.01
Ga 0.500 0.739 0.500  -0.01
Ga 0.500 0.261 0.500  -0.01
Ga 0.883 0.261 0.250  -0.01
Ga 0.117 0.261 0.750  -0.01
Ga 0.500 0.261 0.000  -0.01
Ti 0.000 0.500 0.500  0.72
Ti 0.000 0.500 0.000  0.72

Results
**ΔH_f (0 K)**: -518 meV/atom
**Space group**: Pmma, No. 51

=====

What is the formula in the second record?
CaBiP2Cl